(1)
Here is a relaxed structure of Nb4TcMo from Alexandria via LeMat-Bulk. Energies are from PBE.

The structure in extended XYZ format:
```
6
Lattice="3.2328 0.0000 0.0000 0.0000 3.2328 0.0000 0.0000 0.0000 9.8095" Properties=species:S:1:pos:R:3 pbc="T T T"
Nb 0.0000 0.0000 1.5729
Nb 0.0000 0.0000 8.2366
Nb 1.6164 1.6164 3.3095
Nb 1.6164 1.6164 6.5000
Tc 1.6164 1.6164 0.0000
Mo 0.0000 0.0000 4.9047
```

Calculated values
The density is 9.16 Mg/m³. For the total moment, the calculation gives 0.0 μB/f.u. As for the energy of formation from the pure elements: -0.20 eV/atom. Its density of states at the Fermi level is 3.3 states/eV/cell. As for the polymorph energy (0 for the lowest one): 0 meV per atom.


(2)
Here is a relaxed structure of Nb12TcMo6 from Alexandria via LeMat-Bulk. Energies are from PBE.

The structure in extended XYZ format:
```
19
Lattice="6.0710 3.5051 2.6936 -6.0710 3.5051 2.6936 0.0000 -7.0102 2.6936" Properties=species:S:1:pos:R:3 pbc="T T T"
Nb -0.3827 -4.3372 2.2802
Nb -3.5648 2.5000 2.2802
Nb -1.2868 -1.1283 2.4062
Nb -3.9474 -1.8372 5.8006
Nb -0.3337 1.6785 2.4062
Nb 1.6205 -0.5503 2.4062
Nb -1.6205 0.5503 5.6746
Nb 0.3337 -1.6785 5.6746
Nb 3.9474 1.8372 2.2802
Nb 1.2868 1.1283 5.6746
Nb 3.5648 -2.5000 5.8006
Nb 0.3827 4.3372 5.8006
Tc 0.0000 0.0000 0.0000
Mo -3.2795 0.1621 3.7676
Mo -1.7801 -2.7591 4.3131
Mo 1.4994 -2.9211 3.7676
Mo -1.4994 2.9211 4.3131
Mo 1.7801 2.7591 3.7676
Mo 3.2795 -0.1621 4.3131
```

Calculated values
The density is 8.64 Mg/m³. For the total moment, the calculation gives 0.0 μB/f.u. As for the energy of formation from the pure elements: 0.33 eV/atom. Its density of states at the Fermi level is 21.7 states/eV/cell.


(3)
Here is a relaxed structure of Nb4Tc3Mo2 from Alexandria via LeMat-Bulk. Energies are from PBE.

The structure in extended XYZ format:
```
9
Lattice="4.5117 0.0000 0.0000 -2.2558 3.9072 0.0000 0.0000 0.0000 8.3585" Properties=species:S:1:pos:R:3 pbc="T T T"
Nb 0.0000 0.0000 1.4042
Nb 0.0000 0.0000 6.9544
Nb 0.0000 2.6048 3.2368
Nb 2.2558 1.3024 5.1217
Tc 0.0000 0.0000 4.1793
Tc 0.0000 2.6048 0.4264
Tc 2.2558 1.3024 7.9321
Mo 0.0000 2.6048 6.0773
Mo 2.2558 1.3024 2.2812
```

Calculated values
The density is 9.66 Mg/m³. For the total moment, the calculation gives 0.0 μB/f.u. As for the energy of formation from the pure elements: -0.19 eV/atom. Its density of states at the Fermi level is 4.4 states/eV/cell.


(4)
Here is a relaxed structure of Nb3Tc2Mo from Alexandria via LeMat-Bulk. Energies are from PBE.

The structure in extended XYZ format:
```
6
Lattice="3.2048 0.0000 0.0000 0.0000 3.2048 0.0000 0.0000 0.0000 9.6414" Properties=species:S:1:pos:R:3 pbc="T T T"
Nb 0.0000 0.0000 0.0000
Nb 0.0000 0.0000 3.2029
Nb 0.0000 0.0000 6.4386
Tc 1.6024 1.6024 1.5887
Tc 1.6024 1.6024 8.0527
Mo 1.6024 1.6024 4.8207
```

Calculated values
The density is 9.57 Mg/m³. For the total moment, the calculation gives 0.0 μB/f.u. As for the energy of formation from the pure elements: -0.27 eV/atom. Its density of states at the Fermi level is 4.0 states/eV/cell.


(5)
Here is a relaxed structure of NbTcMo2 from Alexandria via LeMat-Bulk. Energies are from PBE.

The structure in extended XYZ format:
```
8
Lattice="-3.6243 3.6243 2.6376 3.6243 -3.6243 2.6376 3.6243 3.6243 -2.6376" Properties=species:S:1:pos:R:3 pbc="T T T"
Nb 0.0000 0.0000 0.0000
Nb 0.0000 3.6243 1.3188
Tc 3.6243 0.0000 1.3188
Tc 0.0000 0.0000 2.6376
Mo 1.8122 -1.6711 1.9782
Mo 1.9532 1.8122 0.6594
Mo 1.8122 5.2955 -0.6594
Mo 1.6711 1.8122 3.2970
```

Calculated values
The density is 9.17 Mg/m³. For the total moment, the calculation gives 0.0 μB/f.u. As for the energy of formation from the pure elements: 0.64 eV/atom. Its density of states at the Fermi level is 9.7 states/eV/cell. As for the polymorph energy (0 for the lowest one): 748 meV per atom.


(6)
Here is a relaxed structure of NbTc2Mo6 from Alexandria via LeMat-Bulk. Energies are from PBE.

The structure in extended XYZ format:
```
9
Lattice="5.0086 -1.5853 0.0000 5.0086 1.5853 0.0000 -3.0671 0.0000 8.9690" Properties=species:S:1:pos:R:3 pbc="T T T"
Nb 0.0000 0.0000 0.0000
Tc 0.9407 0.0000 6.9637
Tc 6.0093 0.0000 2.0053
Mo -2.0191 0.0000 5.9729
Mo 1.9627 0.0000 4.0079
Mo 2.9959 0.0000 1.0148
Mo 3.9541 0.0000 7.9542
Mo 4.9873 0.0000 4.9611
Mo 8.9691 0.0000 2.9961
```

Calculated values
The density is 10.08 Mg/m³. For the total moment, the calculation gives 0.0 μB/f.u. As for the energy of formation from the pure elements: -0.03 eV/atom. Its density of states at the Fermi level is 6.7 states/eV/cell.


> Among the records above, which one has the lowest energy of formation from the pure elements?

Nb3Tc2Mo


> Which formula does entry 3 have?

Nb4Tc3Mo2


> Look up the total moment of the fourth one.

0.0 μB/f.u.


Please write out number 2 again, unchanged.
Here is a relaxed structure of Nb12TcMo6 from Alexandria via LeMat-Bulk. Energies are from PBE.

The structure in extended XYZ format:
```
19
Lattice="6.0710 3.5051 2.6936 -6.0710 3.5051 2.6936 0.0000 -7.0102 2.6936" Properties=species:S:1:pos:R:3 pbc="T T T"
Nb -0.3827 -4.3372 2.2802
Nb -3.5648 2.5000 2.2802
Nb -1.2868 -1.1283 2.4062
Nb -3.9474 -1.8372 5.8006
Nb -0.3337 1.6785 2.4062
Nb 1.6205 -0.5503 2.4062
Nb -1.6205 0.5503 5.6746
Nb 0.3337 -1.6785 5.6746
Nb 3.9474 1.8372 2.2802
Nb 1.2868 1.1283 5.6746
Nb 3.5648 -2.5000 5.8006
Nb 0.3827 4.3372 5.8006
Tc 0.0000 0.0000 0.0000
Mo -3.2795 0.1621 3.7676
Mo -1.7801 -2.7591 4.3131
Mo 1.4994 -2.9211 3.7676
Mo -1.4994 2.9211 4.3131
Mo 1.7801 2.7591 3.7676
Mo 3.2795 -0.1621 4.3131
```

Calculated values
The density is 8.64 Mg/m³. For the total moment, the calculation gives 0.0 μB/f.u. As for the energy of formation from the pure elements: 0.33 eV/atom. Its density of states at the Fermi level is 21.7 states/eV/cell.